The following is a DFT calculation (GGA-PBE) of a relaxed NpTcMo2 crystal.

Cell: 3.185 3.185 6.720 Å, 90.00 90.00 90.00°
Sites, in units of the cell vectors:
Np 0.000 0.000 0.000
Tc 0.000 0.000 0.500
Mo 0.500 0.500 0.267
Mo 0.500 0.500 0.733

---

The following is a DFT calculation (GGA-PBE) of a relaxed NpTc2Mo crystal.

Cell: 4.598 4.598 3.163 Å, 90.00 90.00 90.00°
Sites, in units of the cell vectors:
Np 0.000 0.000 0.000
Tc 0.000 0.500 0.500
Tc 0.500 0.000 0.500
Mo 0.500 0.500 0.000

Properties
Distance to the lowest polymorph of the same formula, meV/atom: 0.0

---

The following is a DFT calculation (GGA-PBE) of a relaxed NpTc2Mo crystal.

Cell: 4.575 4.575 4.575 Å, 60.00 60.00 60.00°
Sites, in units of the cell vectors:
Np 0.000 0.000 0.000
Tc 0.250 0.250 0.250
Tc 0.750 0.750 0.750
Mo 0.500 0.500 0.500

Properties
Distance to the lowest polymorph of the same formula, meV/atom: 33.7

---

The following is a DFT calculation (GGA-PBE) of a relaxed NpTcMo crystal.

Cell: 6.115 6.115 6.115 Å, 150.96 150.96 41.54°
Sites, in units of the cell vectors:
Np 0.000 0.000 0.000
Tc 0.316 0.316 0.000
Mo 0.688 0.688 0.000

Properties
Distance to the lowest polymorph of the same formula, meV/atom: 0.0

---

E (eV/atom)
-10.919, -10.991, -10.957, -11.132